(1)
DFT (PBE) results for a geometry-optimized TaSe2BrN structure.

Cell and atoms, written as extended XYZ:
```
5
Lattice="4.995 0.000 0.000 0.000 4.995 0.000 0.000 0.000 5.302" Properties=species:S:1:pos:R:3 pbc="T T T"
Se 2.498 0.000 0.000
Se 0.000 2.498 0.000
Ta 0.000 0.000 0.000
Br 0.000 0.000 2.651
N 2.498 2.498 2.651
```

Output
Total energy (eV per atom): -5.05
Energy above the lowest structure with this stoichiometry (meV/atom): 567
M_tot (μB per cell): 3.00
E_form (uncorrected) (eV per atom): 0.71
SG: P4/mmm



(2)
DFT (PBE) results for a geometry-optimized CaLaHf2 structure.

Cell and atoms, written as extended XYZ:
```
8
Lattice="-1.462 -2.346 -8.074 -3.051 -7.489 2.728 -5.152 -3.678 -2.509" Properties=species:S:1:pos:R:3 pbc="T T T"
Hf -3.376 -5.891 0.076
Ca -5.230 -8.042 -1.227
Ca -2.256 -4.917 -2.673
Hf -2.584 -3.324 -5.340
Hf -7.815 -11.370 -6.557
La 0.000 0.000 0.000
La -4.435 -5.470 -6.628
Hf -5.554 -6.440 -3.889
```

Output
Total energy (eV per atom): -5.84
Energy above the lowest structure with this stoichiometry (meV/atom): 263
M_tot (μB per cell): 0.00
SG: I-42d
Energy of formation (eV per atom): 0.87



(3)
DFT (PBE) results for a geometry-optimized PrNd4Ho2Sc structure.

Cell and atoms, written as extended XYZ:
```
8
Lattice="-2.923 2.837 3.073 -8.972 -6.355 -2.667 -0.869 -4.066 2.926" Properties=species:S:1:pos:R:3 pbc="T T T"
Sc -4.920 -5.211 0.130
Ho -0.869 -4.066 2.926
Nd -5.394 0.227 3.131
Nd -4.364 -3.224 3.061
Ho -1.896 -0.615 3.000
Pr -5.947 -1.760 0.203
Nd -8.400 -4.361 0.272
Nd -7.370 -7.812 0.201
```

Output
Total energy (eV per atom): -4.89
M_tot (μB per cell): 0.00
SG: Pmmm
Energy of formation (eV per atom): 0.03



(4)
DFT (PBE) results for a geometry-optimized Zn4FeSe5 structure.

Cell and atoms, written as extended XYZ:
```
10
Lattice="16.619 -2.020 0.005 16.619 2.020 0.005 16.372 0.000 3.495" Properties=species:S:1:pos:R:3 pbc="T T T"
Se 47.165 0.000 3.332
Se 27.294 0.000 1.928
Fe 0.006 0.000 0.000
Se 7.443 0.000 0.526
Zn 19.827 0.000 1.401
Zn 29.772 0.000 2.103
Se 37.201 0.000 2.628
Zn 9.920 0.000 0.701
Zn 39.678 0.000 2.803
Se 17.342 0.000 1.225
```

Output
Total energy (eV per atom): -3.65
M_tot (μB per cell): 3.87
E_form (uncorrected) (eV per atom): -0.55
SG: R3m



no.,mass density (Mg/m³)
1,5.43
2,7.75
3,6.92
4,5.05